# 1
This record from the Alexandria database describes a relaxed ReSiAuBr2 crystal. The functional is PBE.

Output
* DOS(E_F): 1.97 states/eV per cell
* spin magnetization: 3.18 μB per cell

Unit cell a=5.155 b=5.155 c=5.428 alpha=90.00 beta=90.00 gamma=90.00
Fractional positions:
Re 0.000 0.000 0.000
Si 0.500 0.500 0.000
Au 0.000 0.000 0.500
Br 0.000 0.500 0.500
Br 0.500 0.000 0.500



# 2
This record from the Alexandria database describes a relaxed RhAu2Br crystal. The functional is PBE.

Output
* DOS(E_F): 2.21 states/eV per cell
* spin magnetization: 0.00 μB per cell
* energy above the most stable polymorph in this dataset: 0.000 eV per atom

Unit cell a=8.849 b=3.306 c=6.290 alpha=90.00 beta=102.70 gamma=90.00
Fractional positions:
Rh 0.000 0.000 0.000
Rh 0.500 0.500 0.000
Au 0.256 0.000 0.832
Au 0.499 0.000 0.632
Au 0.756 0.500 0.832
Au 0.999 0.500 0.632
Br 0.115 0.500 0.271
Br 0.615 0.000 0.271



# 3
This record from the Alexandria database describes a relaxed Rh2AuBr crystal. The functional is PBE.

Output
* DOS(E_F): 22.82 states/eV per cell
* spin magnetization: 5.57 μB per cell
* energy above the most stable polymorph in this dataset: 0.358 eV per atom

Unit cell a=6.507 b=6.507 c=6.507 alpha=90.00 beta=90.00 gamma=90.00
Fractional positions:
Rh 0.000 0.000 0.000
Rh 0.000 0.500 0.500
Rh 0.250 0.250 0.250
Rh 0.250 0.750 0.750
Rh 0.500 0.000 0.500
Rh 0.500 0.500 0.000
Rh 0.750 0.250 0.750
Rh 0.750 0.750 0.250
Au 0.250 0.250 0.750
Au 0.250 0.750 0.250
Au 0.750 0.250 0.250
Au 0.750 0.750 0.750
Br 0.000 0.000 0.500
Br 0.000 0.500 0.000
Br 0.500 0.000 0.000
Br 0.500 0.500 0.500



# 4
This record from the Alexandria database describes a relaxed Rh2AuBr2 crystal. The functional is PBE.

Output
* DOS(E_F): 10.76 states/eV per cell
* spin magnetization: 0.00 μB per cell
* energy above the most stable polymorph in this dataset: 0.069 eV per atom

Unit cell a=7.772 b=7.772 c=3.091 alpha=90.00 beta=90.00 gamma=90.00
Fractional positions:
Rh 0.182 0.318 0.000
Rh 0.318 0.818 0.000
Rh 0.682 0.182 0.000
Rh 0.818 0.682 0.000
Au 0.000 0.000 0.500
Au 0.500 0.500 0.500
Br 0.139 0.639 0.500
Br 0.361 0.139 0.500
Br 0.639 0.861 0.500
Br 0.861 0.361 0.500



# 5
This record from the Alexandria database describes a relaxed RhAu2Br crystal. The functional is PBE.

Output
* DOS(E_F): 4.54 states/eV per cell
* spin magnetization: 0.00 μB per cell
* energy above the most stable polymorph in this dataset: 0.169 eV per atom

Unit cell a=5.274 b=8.440 c=3.667 alpha=90.00 beta=90.00 gamma=90.00
Fractional positions:
Rh 0.000 0.000 0.000
Rh 0.500 0.500 0.000
Au 0.000 0.232 0.500
Au 0.000 0.768 0.500
Au 0.500 0.268 0.500
Au 0.500 0.732 0.500
Br 0.000 0.500 0.000
Br 0.500 0.000 0.000



# 6
This record from the Alexandria database describes a relaxed RhAu2Br crystal. The functional is PBE.

Output
* DOS(E_F): 5.06 states/eV per cell
* spin magnetization: 0.00 μB per cell
* energy above the most stable polymorph in this dataset: 0.140 eV per atom

Unit cell a=2.970 b=5.256 c=9.844 alpha=90.00 beta=90.00 gamma=90.00
Fractional positions:
Rh 0.000 0.000 0.000
Rh 0.500 0.500 0.000
Au 0.000 0.000 0.483
Au 0.000 0.500 0.233
Au 0.500 0.000 0.233
Au 0.500 0.500 0.483
Br 0.000 0.500 0.795
Br 0.500 0.000 0.795



# 7
This record from the Alexandria database describes a relaxed Rh2AuBr crystal. The functional is PBE.

Output
* DOS(E_F): 10.29 states/eV per cell
* spin magnetization: 4.53 μB per cell
* energy above the most stable polymorph in this dataset: 0.344 eV per atom

Unit cell a=4.060 b=4.060 c=8.404 alpha=90.00 beta=90.00 gamma=90.00
Fractional positions:
Rh 0.000 0.000 0.000
Rh 0.000 0.500 0.250
Rh 0.500 0.000 0.750
Rh 0.500 0.500 0.500
Au 0.000 0.500 0.750
Au 0.500 0.000 0.250
Br 0.000 0.000 0.500
Br 0.500 0.500 0.000



# 8
This record from the Alexandria database describes a relaxed RhAuBr crystal. The functional is PBE.

Output
* DOS(E_F): 6.92 states/eV per cell
* spin magnetization: 2.35 μB per cell
* energy above the most stable polymorph in this dataset: 0.177 eV per atom

Unit cell a=3.119 b=3.119 c=12.070 alpha=90.00 beta=90.00 gamma=90.00
Fractional positions:
Rh 0.000 0.000 0.000
Rh 0.500 0.500 0.500
Au 0.000 0.000 0.353
Au 0.500 0.500 0.853
Br 0.000 0.000 0.633
Br 0.500 0.500 0.133



# 9
This record from the Alexandria database describes a relaxed RhAu2Br crystal. The functional is PBE.

Output
* DOS(E_F): 7.01 states/eV per cell
* spin magnetization: 0.00 μB per cell
* energy above the most stable polymorph in this dataset: 0.049 eV per atom

Unit cell a=3.046 b=4.520 c=12.532 alpha=90.00 beta=90.00 gamma=90.00
Fractional positions:
Rh 0.000 0.000 0.000
Rh 0.500 0.500 0.500
Au 0.000 0.000 0.551
Au 0.000 0.500 0.684
Au 0.500 0.000 0.184
Au 0.500 0.500 0.051
Br 0.000 0.500 0.344
Br 0.500 0.000 0.844



# 10
This record from the Alexandria database describes a relaxed Rh2AuBr crystal. The functional is PBE.

Output
* DOS(E_F): 4.88 states/eV per cell
* spin magnetization: 0.00 μB per cell
* energy above the most stable polymorph in this dataset: 0.111 eV per atom

Unit cell a=3.090 b=3.090 c=6.933 alpha=90.00 beta=90.00 gamma=90.00
Fractional positions:
Rh 0.000 0.000 0.241
Rh 0.000 0.000 0.759
Au 0.500 0.500 0.500
Br 0.500 0.500 0.000



# 11
This record from the Alexandria database describes a relaxed Rh2AuBr crystal. The functional is PBE.

Output
* DOS(E_F): 27.31 states/eV per cell
* spin magnetization: 3.59 μB per cell
* energy above the most stable polymorph in this dataset: 0.281 eV per atom

Unit cell a=6.467 b=6.467 c=6.467 alpha=90.00 beta=90.00 gamma=90.00
Fractional positions:
Rh 0.250 0.250 0.250
Rh 0.250 0.250 0.750
Rh 0.250 0.750 0.250
Rh 0.250 0.750 0.750
Rh 0.750 0.250 0.250
Rh 0.750 0.250 0.750
Rh 0.750 0.750 0.250
Rh 0.750 0.750 0.750
Au 0.000 0.000 0.000
Au 0.000 0.500 0.500
Au 0.500 0.000 0.500
Au 0.500 0.500 0.000
Br 0.000 0.000 0.500
Br 0.000 0.500 0.000
Br 0.500 0.000 0.000
Br 0.500 0.500 0.500



# 12
This record from the Alexandria database describes a relaxed RhAu2Br crystal. The functional is PBE.

Output
* DOS(E_F): 3.82 states/eV per cell
* spin magnetization: 0.00 μB per cell
* energy above the most stable polymorph in this dataset: 0.438 eV per atom

Unit cell a=5.205 b=5.205 c=2.796 alpha=90.00 beta=90.00 gamma=90.00
Fractional positions:
Rh 0.000 0.000 0.000
Au 0.000 0.500 0.500
Au 0.500 0.000 0.500
Br 0.500 0.500 0.000



Number 1: volume 144 Å³/cell, uncorrected energy -3.30 eV/atom. Number 2: volume 180 Å³/cell, uncorrected energy -3.67 eV/atom. Number 3: volume 275 Å³/cell, uncorrected energy -4.18 eV/atom. Number 4: volume 187 Å³/cell, uncorrected energy -3.58 eV/atom. Number 5: volume 163 Å³/cell, uncorrected energy -3.50 eV/atom. Number 6: volume 154 Å³/cell, uncorrected energy -3.53 eV/atom. Number 7: volume 139 Å³/cell, uncorrected energy -4.20 eV/atom. Number 8: volume 117 Å³/cell, uncorrected energy -3.62 eV/atom. Number 9: volume 173 Å³/cell, uncorrected energy -3.62 eV/atom. Number 10: volume 66 Å³/cell, uncorrected energy -4.43 eV/atom. Number 11: volume 271 Å³/cell, uncorrected energy -4.26 eV/atom. Number 12: volume 76 Å³/cell, uncorrected energy -3.24 eV/atom.